Entry 1:
# Mg3ScAl

An optimized crystal structure of Mg3ScAl (GGA-PBE, the Alexandria database).

Structure (CIF):
```
data_Mg3ScAl
_space_group_name_H-M_alt 'P 1'
_space_group_IT_number 1
_cell_length_a 5.083
_cell_length_b 5.083
_cell_length_c 5.083
_cell_angle_alpha 90.00
_cell_angle_beta 90.00
_cell_angle_gamma 90.00
loop_
_space_group_symop_operation_xyz
'x,y,z'
loop_
_atom_site_label
_atom_site_fract_x
_atom_site_fract_y
_atom_site_fract_z
Al1 0.000 0.000 0.000
Mg1 0.000 0.000 0.500
Mg2 0.000 0.500 0.000
Mg3 0.500 0.000 0.000
Sc1 0.500 0.500 0.500
```

Output
The spin magnetization comes out at 0.0 μB/cell. As for the energy above the lowest structure with this stoichiometry: 0.000 eV/atom. For the formation energy, the calculation gives 45.2 kJ/mol of atoms.



Entry 2:
# Be2TlPb

An optimized crystal structure of Be2TlPb (GGA-PBE, the Alexandria database).

Structure (CIF):
```
data_Be2TlPb
_space_group_name_H-M_alt 'P 1'
_space_group_IT_number 1
_cell_length_a 5.016
_cell_length_b 6.774
_cell_length_c 3.327
_cell_angle_alpha 77.93
_cell_angle_beta 79.02
_cell_angle_gamma 127.29
loop_
_space_group_symop_operation_xyz
'x,y,z'
loop_
_atom_site_label
_atom_site_fract_x
_atom_site_fract_y
_atom_site_fract_z
Tl1 0.500 0.000 0.500
Be1 0.000 0.000 0.000
Be2 0.000 0.500 0.500
Pb1 0.500 0.500 0.000
```

Output
The spin magnetization comes out at 0.0 μB/cell. As for the energy above the lowest structure with this stoichiometry: 0.287 eV/atom. For the formation energy, the calculation gives 77.1 kJ/mol of atoms.



Entry 3:
# PmNd7Cd2

An optimized crystal structure of PmNd7Cd2 (GGA-PBE, the Alexandria database).

Structure (CIF):
```
data_PmNd7Cd2
_space_group_name_H-M_alt 'P 1'
_space_group_IT_number 1
_cell_length_a 5.417
_cell_length_b 9.272
_cell_length_c 9.272
_cell_angle_alpha 120.89
_cell_angle_beta 90.00
_cell_angle_gamma 90.00
loop_
_space_group_symop_operation_xyz
'x,y,z'
loop_
_atom_site_label
_atom_site_fract_x
_atom_site_fract_y
_atom_site_fract_z
Cd1 0.500 0.303 0.697
Cd2 0.500 0.697 0.303
Pm1 0.000 0.000 0.000
Nd1 0.500 0.500 0.500
Nd2 0.500 0.699 0.935
Nd3 0.500 0.301 0.065
Nd4 0.000 0.775 0.225
Nd5 0.000 0.225 0.775
Nd6 0.500 0.065 0.301
Nd7 0.500 0.935 0.699
```

Output
The spin magnetization comes out at 0.0 μB/cell. For the formation energy, the calculation gives 35.6 kJ/mol of atoms.



Entry 4:
# Na2Pt2Pb

An optimized crystal structure of Na2Pt2Pb (GGA-PBE, the Alexandria database).

Structure (CIF):
```
data_Na2Pt2Pb
_space_group_name_H-M_alt 'P 1'
_space_group_IT_number 1
_cell_length_a 7.020
_cell_length_b 7.020
_cell_length_c 4.632
_cell_angle_alpha 90.00
_cell_angle_beta 90.00
_cell_angle_gamma 90.00
loop_
_space_group_symop_operation_xyz
'x,y,z'
loop_
_atom_site_label
_atom_site_fract_x
_atom_site_fract_y
_atom_site_fract_z
Na1 0.837 0.337 0.500
Na2 0.337 0.163 0.500
Na3 0.163 0.663 0.500
Na4 0.663 0.837 0.500
Pt1 0.132 0.368 0.000
Pt2 0.632 0.132 0.000
Pt3 0.868 0.632 0.000
Pt4 0.368 0.868 0.000
Pb1 0.000 0.000 0.000
Pb2 0.500 0.500 0.000
```

Output
The spin magnetization comes out at 0.0 μB/cell. As for the energy above the lowest structure with this stoichiometry: 0.097 eV/atom. For the formation energy, the calculation gives -17.0 kJ/mol of atoms.



Entry 5:
# Sc3VSb

An optimized crystal structure of Sc3VSb (GGA-PBE, the Alexandria database).

Structure (CIF):
```
data_Sc3VSb
_space_group_name_H-M_alt 'P 1'
_space_group_IT_number 1
_cell_length_a 4.895
_cell_length_b 4.895
_cell_length_c 4.895
_cell_angle_alpha 90.00
_cell_angle_beta 90.00
_cell_angle_gamma 90.00
loop_
_space_group_symop_operation_xyz
'x,y,z'
loop_
_atom_site_label
_atom_site_fract_x
_atom_site_fract_y
_atom_site_fract_z
V1 0.000 0.000 0.000
Sb1 0.500 0.500 0.500
Sc1 0.000 0.000 0.500
Sc2 0.500 0.000 0.000
Sc3 0.000 0.500 0.000
```

Output
The spin magnetization comes out at 0.0 μB/cell. As for the energy above the lowest structure with this stoichiometry: 0.000 eV/atom. As for the uncorrected formation energy: 0.27 eV/atom.



Entry 6:
# PtRhCl2

An optimized crystal structure of PtRhCl2 (GGA-PBE, the Alexandria database).

Structure (CIF):
```
data_PtRhCl2
_space_group_name_H-M_alt 'P 1'
_space_group_IT_number 1
_cell_length_a 6.692
_cell_length_b 6.692
_cell_length_c 5.664
_cell_angle_alpha 53.79
_cell_angle_beta 53.79
_cell_angle_gamma 90.00
loop_
_space_group_symop_operation_xyz
'x,y,z'
loop_
_atom_site_label
_atom_site_fract_x
_atom_site_fract_y
_atom_site_fract_z
Rh1 0.250 0.750 0.500
Rh2 0.500 0.500 0.000
Pt1 0.750 0.250 0.500
Pt2 0.000 0.000 0.000
Cl1 0.375 0.387 0.750
Cl2 0.137 0.625 0.250
Cl3 0.613 0.125 0.250
Cl4 0.875 0.863 0.750
```

Output
The spin magnetization comes out at 0.0 μB/cell. As for the energy above the lowest structure with this stoichiometry: 0.641 eV/atom. As for the uncorrected formation energy: 0.53 eV/atom.